[1]
# Ta2GeTe (PBE, optimized geometry)
# distance to the lowest polymorph of the same formula = 330 meV per atom
# total moment = 0.00 μB per atom
# E_form (uncorrected) = 168 kJ/mol of formula units
data_Ta2GeTe
_chemical_formula_sum 'Ta8 Ge4 Te4'
_symmetry_space_group_name_H-M 'I -4 2 d'
_symmetry_Int_Tables_number 122
_symmetry_space_group_name_Hall 'I -4 2bw'
_cell_length_a 4.141
_cell_length_b 4.141
_cell_length_c 19.249
_cell_angle_alpha 90.00
_cell_angle_beta 90.00
_cell_angle_gamma 90.00
loop_
_atom_site_label
_atom_site_type_symbol
_atom_site_fract_x
_atom_site_fract_y
_atom_site_fract_z
_atom_site_occupancy
Ta1 Ta 0.240 0.250 0.125 1
Ge1 Ge 0.000 0.000 0.000 1
Te1 Te 0.000 0.000 0.500 1

[2]
# Ta3GeTe (PBE, optimized geometry)
# distance to the lowest polymorph of the same formula = 0 meV per atom
# total moment = 0.00 μB per atom
# E_form (uncorrected) = 558 kJ/mol of formula units
data_Ta3GeTe
_chemical_formula_sum 'Ta3 Ge1 Te1'
_symmetry_space_group_name_H-M 'P m -3 m'
_symmetry_Int_Tables_number 221
_symmetry_space_group_name_Hall '-P 4 2 3'
_cell_length_a 4.802
_cell_length_b 4.802
_cell_length_c 4.802
_cell_angle_alpha 90.00
_cell_angle_beta 90.00
_cell_angle_gamma 90.00
loop_
_atom_site_label
_atom_site_type_symbol
_atom_site_fract_x
_atom_site_fract_y
_atom_site_fract_z
_atom_site_occupancy
Ta1 Ta 0.000 0.000 0.500 1
Ge1 Ge 0.000 0.000 0.000 1
Te1 Te 0.500 0.500 0.500 1

[3]
# TaGe2Te2 (PBE, optimized geometry)
# distance to the lowest polymorph of the same formula = 0 meV per atom
# total moment = 0.00 μB per atom
# E_form (uncorrected) = 111 kJ/mol of formula units
data_TaGe2Te2
_chemical_formula_sum 'Ta2 Ge4 Te4'
_symmetry_space_group_name_H-M 'I 4/m m m'
_symmetry_Int_Tables_number 139
_symmetry_space_group_name_Hall '-I 4 2'
_cell_length_a 3.564
_cell_length_b 3.564
_cell_length_c 18.506
_cell_angle_alpha 90.00
_cell_angle_beta 90.00
_cell_angle_gamma 90.00
loop_
_atom_site_label
_atom_site_type_symbol
_atom_site_fract_x
_atom_site_fract_y
_atom_site_fract_z
_atom_site_occupancy
Ta1 Ta 0.000 0.000 0.000 1
Ge1 Ge 0.000 0.500 0.250 1
Te1 Te 0.000 0.000 0.413 1

[4]
# TaGe2Te6 (PBE, optimized geometry)
# total moment = 0.00 μB per atom
# E_form (uncorrected) = -27 kJ/mol of formula units
data_TaGe2Te6
_chemical_formula_sum 'Ta4 Ge8 Te24'
_symmetry_space_group_name_H-M 'C 1 2/c 1'
_symmetry_Int_Tables_number 15
_symmetry_space_group_name_Hall '-C 2yc'
_cell_length_a 13.560
_cell_length_b 12.346
_cell_length_c 7.111
_cell_angle_alpha 90.00
_cell_angle_beta 101.15
_cell_angle_gamma 90.00
loop_
_atom_site_label
_atom_site_type_symbol
_atom_site_fract_x
_atom_site_fract_y
_atom_site_fract_z
_atom_site_occupancy
Ta1 Ta 0.000 0.119 0.250 1
Ge1 Ge 0.191 0.421 0.344 1
Te1 Te 0.102 0.075 0.622 1
Te2 Te 0.113 0.403 0.661 1
Te3 Te 0.136 0.242 0.129 1

[5]
# Ta2GeTe (PBE, optimized geometry)
# distance to the lowest polymorph of the same formula = 0 meV per atom
# total moment = 0.00 μB per atom
# E_form (uncorrected) = 41 kJ/mol of formula units
data_Ta2GeTe
_chemical_formula_sum 'Ta8 Ge4 Te4'
_symmetry_space_group_name_H-M 'F m -3 m'
_symmetry_Int_Tables_number 225
_symmetry_space_group_name_Hall '-F 4 2 3'
_cell_length_a 6.653
_cell_length_b 6.653
_cell_length_c 6.653
_cell_angle_alpha 90.00
_cell_angle_beta 90.00
_cell_angle_gamma 90.00
loop_
_atom_site_label
_atom_site_type_symbol
_atom_site_fract_x
_atom_site_fract_y
_atom_site_fract_z
_atom_site_occupancy
Ta1 Ta 0.250 0.250 0.250 1
Ge1 Ge 0.000 0.000 0.000 1
Te1 Te 0.000 0.000 0.500 1

[6]
# TaTiGe2Te (PBE, optimized geometry)
# total moment = 0.00 μB per atom
# E_form (uncorrected) = 761 kJ/mol of formula units
data_TaTiGe2Te
_chemical_formula_sum 'Ta1 Ti1 Ge2 Te1'
_symmetry_space_group_name_H-M 'P 4/m m m'
_symmetry_Int_Tables_number 123
_symmetry_space_group_name_Hall '-P 4 2'
_cell_length_a 5.181
_cell_length_b 5.181
_cell_length_c 4.880
_cell_angle_alpha 90.00
_cell_angle_beta 90.00
_cell_angle_gamma 90.00
loop_
_atom_site_label
_atom_site_type_symbol
_atom_site_fract_x
_atom_site_fract_y
_atom_site_fract_z
_atom_site_occupancy
Ta1 Ta 0.000 0.000 0.000 1
Ti1 Ti 0.500 0.500 0.000 1
Ge1 Ge 0.000 0.500 0.500 1
Te1 Te 0.500 0.500 0.500 1

[7]
# TaGeTe2W (PBE, optimized geometry)
# total moment = 0.38 μB per atom
# E_form (uncorrected) = 646 kJ/mol of formula units
data_TaGeTe2W
_chemical_formula_sum 'Ta1 Ge1 Te2 W1'
_symmetry_space_group_name_H-M 'P 4/m m m'
_symmetry_Int_Tables_number 123
_symmetry_space_group_name_Hall '-P 4 2'
_cell_length_a 5.364
_cell_length_b 5.364
_cell_length_c 4.972
_cell_angle_alpha 90.00
_cell_angle_beta 90.00
_cell_angle_gamma 90.00
loop_
_atom_site_label
_atom_site_type_symbol
_atom_site_fract_x
_atom_site_fract_y
_atom_site_fract_z
_atom_site_occupancy
Ta1 Ta 0.000 0.000 0.000 1
Ge1 Ge 0.500 0.500 0.500 1
Te1 Te 0.000 0.500 0.000 1
W1 W 0.000 0.000 0.500 1

[8]
# ThTa4Ge2 (PBE, optimized geometry)
# energy of formation from the pure elements = -0.31 eV/atom
# distance to the lowest polymorph of the same formula = 21 meV per atom
# total moment = 0.00 μB per atom
data_ThTa4Ge2
_chemical_formula_sum 'Th2 Ta8 Ge4'
_symmetry_space_group_name_H-M 'C m m m'
_symmetry_Int_Tables_number 65
_symmetry_space_group_name_Hall '-C 2 2'
_cell_length_a 3.697
_cell_length_b 16.934
_cell_length_c 4.434
_cell_angle_alpha 90.00
_cell_angle_beta 90.00
_cell_angle_gamma 90.00
loop_
_atom_site_label
_atom_site_type_symbol
_atom_site_fract_x
_atom_site_fract_y
_atom_site_fract_z
_atom_site_occupancy
Th1 Th 0.000 0.000 0.000 1
Ta1 Ta 0.000 0.185 0.500 1
Ta2 Ta 0.000 0.321 0.000 1
Ge1 Ge 0.000 0.425 0.500 1

[9]
# ThTa2Ge2 (PBE, optimized geometry)
# energy of formation from the pure elements = -0.50 eV/atom
# total moment = 0.00 μB per atom
data_ThTa2Ge2
_chemical_formula_sum 'Th2 Ta4 Ge4'
_symmetry_space_group_name_H-M 'I 4/m m m'
_symmetry_Int_Tables_number 139
_symmetry_space_group_name_Hall '-I 4 2'
_cell_length_a 4.124
_cell_length_b 4.124
_cell_length_c 12.011
_cell_angle_alpha 90.00
_cell_angle_beta 90.00
_cell_angle_gamma 90.00
loop_
_atom_site_label
_atom_site_type_symbol
_atom_site_fract_x
_atom_site_fract_y
_atom_site_fract_z
_atom_site_occupancy
Th1 Th 0.000 0.000 0.000 1
Ta1 Ta 0.000 0.500 0.250 1
Ge1 Ge 0.000 0.000 0.394 1

[10]
# ThTa4Ge2 (PBE, optimized geometry)
# energy of formation from the pure elements = -0.34 eV/atom
# distance to the lowest polymorph of the same formula = 0 meV per atom
# total moment = 0.00 μB per atom
data_ThTa4Ge2
_chemical_formula_sum 'Th2 Ta8 Ge4'
_symmetry_space_group_name_H-M 'C m m m'
_symmetry_Int_Tables_number 65
_symmetry_space_group_name_Hall '-C 2 2'
_cell_length_a 4.478
_cell_length_b 16.780
_cell_length_c 3.681
_cell_angle_alpha 90.00
_cell_angle_beta 90.00
_cell_angle_gamma 90.00
loop_
_atom_site_label
_atom_site_type_symbol
_atom_site_fract_x
_atom_site_fract_y
_atom_site_fract_z
_atom_site_occupancy
Th1 Th 0.000 0.000 0.000 1
Ta1 Ta 0.000 0.176 0.500 1
Ta2 Ta 0.000 0.312 0.000 1
Ge1 Ge 0.000 0.424 0.500 1

[11]
# ThTaVGe2 (PBE, optimized geometry)
# energy of formation from the pure elements = -0.49 eV/atom
# total moment = 0.00 μB per atom
data_ThTaVGe2
_chemical_formula_sum 'Th2 Ta2 V2 Ge4'
_symmetry_space_group_name_H-M 'I -4 m 2'
_symmetry_Int_Tables_number 119
_symmetry_space_group_name_Hall 'I -4 -2'
_cell_length_a 4.058
_cell_length_b 4.058
_cell_length_c 11.834
_cell_angle_alpha 90.00
_cell_angle_beta 90.00
_cell_angle_gamma 90.00
loop_
_atom_site_label
_atom_site_type_symbol
_atom_site_fract_x
_atom_site_fract_y
_atom_site_fract_z
_atom_site_occupancy
Th1 Th 0.000 0.000 0.000 1
Ta1 Ta 0.000 0.500 0.250 1
V1 V 0.000 0.500 0.750 1
Ge1 Ge 0.000 0.000 0.390 1

[12]
# TaTi3Ge (PBE, optimized geometry)
# energy of formation from the pure elements = 0.63 eV/atom
# distance to the lowest polymorph of the same formula = 0 meV per atom
# total moment = 0.00 μB per atom
data_TaTi3Ge
_chemical_formula_sum 'Ta1 Ti3 Ge1'
_symmetry_space_group_name_H-M 'P m -3 m'
_symmetry_Int_Tables_number 221
_symmetry_space_group_name_Hall '-P 4 2 3'
_cell_length_a 4.647
_cell_length_b 4.647
_cell_length_c 4.647
_cell_angle_alpha 90.00
_cell_angle_beta 90.00
_cell_angle_gamma 90.00
loop_
_atom_site_label
_atom_site_type_symbol
_atom_site_fract_x
_atom_site_fract_y
_atom_site_fract_z
_atom_site_occupancy
Ta1 Ta 0.000 0.000 0.000 1
Ti1 Ti 0.000 0.500 0.500 1
Ge1 Ge 0.500 0.500 0.500 1

Number 1: electronic total energy -118.9 eV/cell, ρ 11.3 Mg/m³. Number 2: electronic total energy -37.5 eV/cell, ρ 11.1 Mg/m³. Number 3: electronic total energy -52.4 eV/cell, ρ 8.2 Mg/m³. Number 4: electronic total energy -160.9 eV/cell, ρ 6.2 Mg/m³. Number 5: electronic total energy -124.2 eV/cell, ρ 12.7 Mg/m³. Number 6: electronic total energy -24.2 eV/cell, ρ 6.4 Mg/m³. Number 7: electronic total energy -29.0 eV/cell, ρ 8.0 Mg/m³. Number 8: electronic total energy -132.5 eV/cell, ρ 13.2 Mg/m³. Number 9: electronic total energy -85.7 eV/cell, ρ 12.0 Mg/m³. Number 10: electronic total energy -132.8 eV/cell, ρ 13.2 Mg/m³. Number 11: electronic total energy -80.2 eV/cell, ρ 10.4 Mg/m³. Number 12: electronic total energy -37.0 eV/cell, ρ 6.6 Mg/m³.